# 1
Here is crystalline CeHo2Pa at its relaxed geometry from Alexandria via LeMat-Bulk. Energies are from PBE-GGA.

Calculated values
ΔH_f (0 K) = 0.13 eV per atom
N(E_F) = 8.92 states/eV per cell
SG = No. 166

Cell and atoms, written as extended XYZ:
```
4
Lattice="3.387 0.000 0.000 1.694 2.933 0.000 1.694 0.978 11.454" Properties=species:S:1:pos:R:3 pbc="T T T"
Ce 3.387 1.956 5.727
Ho 5.081 2.933 8.716
Ho 1.694 0.978 2.738
Pa 0.000 0.000 0.000
```



# 2
Here is crystalline CeHoPa at its relaxed geometry from Alexandria via LeMat-Bulk. Energies are from PBE-GGA.

Calculated values
ΔH_f (0 K) = 0.12 eV per atom
N(E_F) = 6.85 states/eV per cell
SG = No. 107

Cell and atoms, written as extended XYZ:
```
3
Lattice="3.276 0.000 0.000 0.000 3.276 0.000 -1.638 -1.638 7.698" Properties=species:S:1:pos:R:3 pbc="T T T"
Ho 1.638 1.638 7.571
Ce 1.638 1.638 2.725
Pa 0.000 0.000 5.099
```



# 3
Here is crystalline CePrHoPa at its relaxed geometry from Alexandria via LeMat-Bulk. Energies are from PBE-GGA.

Calculated values
ΔH_f (0 K) = 0.40 eV per atom
N(E_F) = 14.03 states/eV per cell
SG = No. 216

Cell and atoms, written as extended XYZ:
```
4
Lattice="5.566 0.000 0.000 2.783 4.820 0.000 2.783 1.607 4.544" Properties=species:S:1:pos:R:3 pbc="T T T"
Ce 0.000 0.000 0.000
Pr 5.566 3.213 2.272
Pa 2.783 1.607 1.136
Ho 8.348 4.820 3.408
```



# 4
Here is crystalline Ce2HoPaS4 at its relaxed geometry from Alexandria via LeMat-Bulk. Energies are from PBE-GGA.

Calculated values
N(E_F) = 12.19 states/eV per cell
ΔE_f (raw) = -44.2 kcal/mol of atoms
SG = No. 10

Cell and atoms, written as extended XYZ:
```
8
Lattice="-1.071 0.447 -3.745 -0.742 -6.798 -0.600 -5.950 2.724 2.027" Properties=species:S:1:pos:R:3 pbc="T T T"
S -1.988 -4.443 0.038
S -4.704 0.369 1.389
S -2.133 -0.785 -1.536
S -5.630 -2.842 -0.782
Ce -3.346 -2.037 0.714
Ce -3.510 1.586 -0.859
Ho 0.000 0.000 0.000
Pa -0.907 -3.175 -2.172
```



# 5
Here is crystalline CeHoPa2S4 at its relaxed geometry from Alexandria via LeMat-Bulk. Energies are from PBE-GGA.

Calculated values
N(E_F) = 10.04 states/eV per cell
ΔE_f (raw) = -41.2 kcal/mol of atoms
SG = No. 10

Cell and atoms, written as extended XYZ:
```
8
Lattice="-2.706 1.861 1.942 2.324 -2.606 5.735 3.324 6.026 -1.143" Properties=species:S:1:pos:R:3 pbc="T T T"
S 2.549 -0.449 3.982
S 0.074 1.774 2.152
S 2.867 3.507 4.383
S 3.099 3.869 0.610
Pa 2.824 1.710 2.296
Pa 0.309 3.943 0.400
Ce 0.000 0.000 0.000
Ho -0.191 -0.372 3.839
```



# 6
Here is crystalline CeHo2PaS4 at its relaxed geometry from Alexandria via LeMat-Bulk. Energies are from PBE-GGA.

Calculated values
N(E_F) = 9.10 states/eV per cell
ΔE_f (raw) = -43.5 kcal/mol of atoms
SG = No. 10

Cell and atoms, written as extended XYZ:
```
8
Lattice="-2.944 -0.461 2.480 -2.937 -4.492 -4.320 2.204 -6.188 1.466" Properties=species:S:1:pos:R:3 pbc="T T T"
Ce -2.940 -2.477 -0.920
S -3.147 -5.189 -1.668
S -0.530 -5.952 1.295
S -3.079 -3.129 1.824
S -0.597 -8.012 -2.197
Ho -0.370 -3.324 1.973
Ho 2.204 -6.188 1.466
Pa -0.366 -5.340 -1.427
```